Rb2NpCl2F4: relaxed, PBE-GGA. Values from VASP.

```
&SYSTEM
  ibrav = 0, nat = 9, ntyp = 4
/
ATOMIC_SPECIES
Rb 85.47 Rb.upf
F 19.00 F.upf
Cl 35.45 Cl.upf
Np 237.00 Np.upf
ATOMIC_POSITIONS angstrom
Rb 0.299 3.935 1.642
F -3.185 -0.259 4.766
F 1.640 0.719 1.135
Cl -4.668 3.050 4.812
Rb 0.299 -0.195 4.260
F -3.185 4.421 1.800
F -1.042 3.021 4.766
Cl -1.703 1.112 1.755
Np 0.000 0.000 0.000
CELL_PARAMETERS angstrom
6.968 -0.422 -0.666
-3.185 6.211 0.666
-3.185 -2.049 5.901
```

Summary:
Size of the total moment ... 0.333 μB/atom
D(E_F) ... 0.81 states/eV/atom
Formation energy without anion corrections ... -2383 kJ/mol of formula units
Raw total energy ... -5.64 eV/atom
Symmetry ... I4/mmm